Entry 1:
{"formula": "Gd2PbAu", "functional": "GGA-PBE", "state": "optimized geometry", "e_above_lowest_polymorph_mev_per_atom": 0, "dft_energy_ev_per_atom": -9.447, "crystal_system": "tetragonal", "magnetic_moment_mub_per_cell": 14.7, "delta_e_f_ev_per_atom": -0.66, "lattice": [[3.5643, 0.0000, 0.0000], [0.0000, 3.5643, 0.0000], [0.0000, 0.0000, 8.2992]], "species": ["Gd", "Gd", "Au", "Pb"], "fractional_positions": [[0.0000, 0.0000, 0.7763], [0.0000, 0.0000, 0.2237], [0.5000, 0.5000, 0.0000], [0.5000, 0.5000, 0.5000]]}

***

Entry 2:
{"formula": "Gd2PbAu", "functional": "GGA-PBE", "state": "optimized geometry", "e_above_lowest_polymorph_mev_per_atom": 136, "dft_energy_ev_per_atom": -9.311, "crystal_system": "trigonal", "magnetic_moment_mub_per_cell": 14.6, "delta_e_f_ev_per_atom": -0.52, "lattice": [[-2.7030, -2.0216, 2.0670], [0.9750, -3.4376, 1.7024], [1.7459, 2.3735, 8.3940]], "species": ["Gd", "Gd", "Au", "Pb"], "fractional_positions": [[0.7405, 0.7405, 0.7785], [0.2595, 0.2595, 0.2215], [0.0000, 0.0000, 0.0000], [0.5000, 0.5000, 0.5000]]}

***

Entry 3:
{"formula": "GdPb2Au", "functional": "GGA-PBE", "state": "optimized geometry", "e_above_lowest_polymorph_mev_per_atom": 0, "dft_energy_ev_per_atom": -6.599, "crystal_system": "tetragonal", "magnetic_moment_mub_per_cell": 7.1, "delta_e_f_ev_per_atom": -0.41, "lattice": [[-1.3711, -4.3811, -0.1667], [4.0536, -1.1867, -2.1523], [2.0096, -0.7895, 4.2203]], "species": ["Au", "Gd", "Pb", "Pb"], "fractional_positions": [[0.5000, 0.0000, 0.0000], [0.5000, 0.5000, 0.5000], [0.0000, 0.5000, 0.0000], [0.0000, 0.0000, 0.5000]]}

***

Entry 4:
{"formula": "GdPbAu2", "functional": "GGA-PBE", "state": "optimized geometry", "dft_energy_ev_per_atom": -6.636, "crystal_system": "tetragonal", "magnetic_moment_mub_per_cell": 7.0, "delta_e_f_ev_per_atom": -0.55, "lattice": [[-0.7357, -2.4772, -2.7667], [3.6976, -0.2268, -0.7801], [0.6119, -5.0661, 4.3733]], "species": ["Pb", "Au", "Au", "Gd"], "fractional_positions": [[0.5000, 0.5000, 0.5000], [0.0000, 0.0000, 0.2273], [0.0000, 0.0000, 0.7727], [0.5000, 0.5000, 0.0000]]}

***

Entry 5:
{"formula": "GdPbAu2", "functional": "GGA-PBE", "state": "optimized geometry", "dft_energy_ev_per_atom": -6.592, "crystal_system": "tetragonal", "magnetic_moment_mub_per_cell": 7.2, "delta_e_f_ev_per_atom": -0.51, "lattice": [[-3.1163, 1.0727, 2.5233], [-1.6437, -4.4556, -0.1357], [2.6735, -1.1011, 3.7699]], "species": ["Pb", "Au", "Au", "Gd"], "fractional_positions": [[0.5000, 0.0000, 0.0000], [0.0000, 0.0000, 0.5000], [0.0000, 0.5000, 0.0000], [0.5000, 0.5000, 0.5000]]}

***

Entry 6:
{"formula": "GdPb2Au", "functional": "GGA-PBE", "state": "optimized geometry", "e_above_lowest_polymorph_mev_per_atom": 469, "dft_energy_ev_per_atom": -6.130, "crystal_system": "trigonal", "magnetic_moment_mub_per_cell": 7.3, "delta_e_f_ev_per_atom": 0.06, "lattice": [[-1.8153, 2.7675, -1.2973], [-3.0024, 1.0560, 1.5835], [4.0342, 7.9119, 6.3630]], "species": ["Pb", "Pb", "Au", "Gd"], "fractional_positions": [[0.9007, 0.9007, 0.2979], [0.0993, 0.0993, 0.7021], [0.5000, 0.5000, 0.5000], [0.0000, 0.0000, 0.0000]]}

***

Entry 7:
{"formula": "Gd2PbAu", "functional": "GGA-PBE", "state": "optimized geometry", "e_above_lowest_polymorph_mev_per_atom": 6, "dft_energy_ev_per_atom": -9.441, "crystal_system": "cubic", "magnetic_moment_mub_per_cell": 14.9, "delta_e_f_ev_per_atom": -0.65, "lattice": [[-1.7544, -1.2896, 4.8351], [-3.7424, -3.7150, 0.5591], [1.2332, -4.7110, 2.0988]], "species": ["Gd", "Gd", "Au", "Pb"], "fractional_positions": [[0.7500, 0.7500, 0.7500], [0.2500, 0.2500, 0.2500], [0.5000, 0.5000, 0.5000], [0.0000, 0.0000, 0.0000]]}

***

Entry 8:
{"formula": "GdRhPbAu", "functional": "GGA-PBE", "state": "optimized geometry", "dft_energy_ev_per_atom": -7.561, "crystal_system": "cubic", "magnetic_moment_mub_per_cell": 7.0, "delta_e_f_ev_per_atom": -0.46, "lattice": [[-2.1107, -2.6071, -3.6454], [-2.4674, -4.1671, 1.0429], [-4.9346, -0.1273, -0.4178]], "species": ["Au", "Pb", "Gd", "Rh"], "fractional_positions": [[0.0000, 0.0000, 0.0000], [0.7500, 0.7500, 0.7500], [0.2500, 0.2500, 0.2500], [0.5000, 0.5000, 0.5000]]}

***

Entry 9:
{"formula": "SmGdPbAu", "functional": "GGA-PBE", "state": "optimized geometry", "dft_energy_ev_per_atom": -7.081, "crystal_system": "cubic", "magnetic_moment_mub_per_cell": 7.9, "delta_e_f_ev_per_atom": -0.63, "lattice": [[-4.5572, -1.2977, -2.4515], [-3.4269, -3.3529, 2.3402], [-4.6506, 1.8191, 1.8773]], "species": ["Gd", "Pb", "Au", "Sm"], "fractional_positions": [[0.7500, 0.7500, 0.7500], [0.5000, 0.5000, 0.5000], [0.0000, 0.0000, 0.0000], [0.2500, 0.2500, 0.2500]]}

***

Entry 10:
{"formula": "GdSnPbAu", "functional": "GGA-PBE", "state": "optimized geometry", "dft_energy_ev_per_atom": -6.627, "crystal_system": "cubic", "magnetic_moment_mub_per_cell": 7.1, "delta_e_f_ev_per_atom": -0.36, "lattice": [[5.2973, 0.0000, 0.0000], [2.6486, 4.5876, 0.0000], [2.6486, 1.5292, 4.3252]], "species": ["Gd", "Pb", "Sn", "Au"], "fractional_positions": [[0.5000, 0.5000, 0.5000], [0.0000, 0.0000, 0.0000], [0.2500, 0.2500, 0.2500], [0.7500, 0.7500, 0.7500]]}

***

Entry 11:
{"formula": "TbGdPbAu", "functional": "GGA-PBE", "state": "optimized geometry", "dft_energy_ev_per_atom": -7.057, "crystal_system": "cubic", "magnetic_moment_mub_per_cell": 7.9, "delta_e_f_ev_per_atom": -0.63, "lattice": [[5.2918, 0.0000, 0.0000], [2.6459, 4.5828, 0.0000], [2.6459, 1.5276, 4.3207]], "species": ["Tb", "Gd", "Pb", "Au"], "fractional_positions": [[0.0000, 0.0000, 0.0000], [0.5000, 0.5000, 0.5000], [0.7500, 0.7500, 0.7500], [0.2500, 0.2500, 0.2500]]}

***

Entry 12:
{"formula": "GdThPbAu", "functional": "GGA-PBE", "state": "optimized geometry", "dft_energy_ev_per_atom": -7.580, "crystal_system": "cubic", "magnetic_moment_mub_per_cell": 8.0, "delta_e_f_ev_per_atom": -0.46, "lattice": [[-3.7553, -3.7726, 0.7858], [1.3109, -4.6476, 2.3734], [-1.7438, -1.0646, 4.9778]], "species": ["Th", "Gd", "Pb", "Au"], "fractional_positions": [[0.7500, 0.7500, 0.7500], [0.2500, 0.2500, 0.2500], [0.5000, 0.5000, 0.5000], [0.0000, 0.0000, 0.0000]]}

***

Entry 13:
{"formula": "GdTlPbAu", "functional": "GGA-PBE", "state": "optimized geometry", "dft_energy_ev_per_atom": -6.175, "crystal_system": "cubic", "magnetic_moment_mub_per_cell": 6.9, "delta_e_f_ev_per_atom": -0.32, "lattice": [[5.2678, 0.0000, 0.0000], [2.6339, 4.5620, 0.0000], [2.6339, 1.5207, 4.3011]], "species": ["Tl", "Gd", "Pb", "Au"], "fractional_positions": [[0.5000, 0.5000, 0.5000], [0.2500, 0.2500, 0.2500], [0.7500, 0.7500, 0.7500], [0.0000, 0.0000, 0.0000]]}

***

Entry 14:
{"formula": "GdTmPbAu", "functional": "GGA-PBE", "state": "optimized geometry", "dft_energy_ev_per_atom": -6.995, "crystal_system": "cubic", "magnetic_moment_mub_per_cell": 7.8, "delta_e_f_ev_per_atom": -0.61, "lattice": [[5.2500, 0.0000, 0.0000], [2.6250, 4.5466, 0.0000], [2.6250, 1.5155, 4.2866]], "species": ["Gd", "Tm", "Pb", "Au"], "fractional_positions": [[0.7500, 0.7500, 0.7500], [0.2500, 0.2500, 0.2500], [0.5000, 0.5000, 0.5000], [0.0000, 0.0000, 0.0000]]}

***

Entry 15:
{"formula": "GdPd4Au", "functional": "GGA-PBE", "state": "optimized geometry", "dft_energy_ev_per_atom": -6.922, "crystal_system": "cubic", "magnetic_moment_mub_per_cell": 7.0, "delta_e_f_ev_per_atom": -0.57, "lattice": [[5.3468, 0.0000, 0.0000], [2.6734, 4.6304, 0.0000], [2.6734, 1.5435, 4.3656]], "species": ["Pd", "Pd", "Pd", "Pd", "Au", "Gd"], "fractional_positions": [[0.6253, 0.1242, 0.6253], [0.6253, 0.6253, 0.1242], [0.6253, 0.6253, 0.6253], [0.1242, 0.6253, 0.6253], [0.0000, 0.0000, 0.0000], [0.2500, 0.2500, 0.2500]]}

***

Entry 16:
{"formula": "Gd2PdAu", "functional": "GGA-PBE", "state": "optimized geometry", "dft_energy_ev_per_atom": -9.986, "crystal_system": "tetragonal", "magnetic_moment_mub_per_cell": 14.4, "delta_e_f_ev_per_atom": -0.83, "lattice": [[-0.9019, -3.4329, 0.5094], [0.3102, -0.6040, -3.5209], [6.9531, -1.6928, 0.9029]], "species": ["Gd", "Gd", "Pd", "Au"], "fractional_positions": [[0.0000, 0.0000, 0.2437], [0.0000, 0.0000, 0.7563], [0.5000, 0.5000, 0.0000], [0.5000, 0.5000, 0.5000]]}

***

Entry 17:
{"formula": "PmGdPdAu", "functional": "GGA-PBE", "state": "optimized geometry", "dft_energy_ev_per_atom": -7.621, "crystal_system": "cubic", "magnetic_moment_mub_per_cell": 7.2, "delta_e_f_ev_per_atom": -0.80, "lattice": [[-3.2273, -0.8049, -3.8905], [-4.5025, -2.2846, 0.8406], [-4.3384, 2.6964, -0.3261]], "species": ["Au", "Pm", "Gd", "Pd"], "fractional_positions": [[0.0000, 0.0000, 0.0000], [0.7500, 0.7500, 0.7500], [0.2500, 0.2500, 0.2500], [0.5000, 0.5000, 0.5000]]}

***

Entry 18:
{"formula": "GdPuPdAu", "functional": "GGA-PBE", "state": "optimized geometry", "dft_energy_ev_per_atom": -9.790, "crystal_system": "cubic", "magnetic_moment_mub_per_cell": 1.4, "delta_e_f_ev_per_atom": -0.57, "lattice": [[5.0836, 0.0000, 0.0000], [2.5418, 4.4025, 0.0000], [2.5418, 1.4675, 4.1508]], "species": ["Pd", "Gd", "Pu", "Au"], "fractional_positions": [[0.5000, 0.5000, 0.5000], [0.7500, 0.7500, 0.7500], [0.2500, 0.2500, 0.2500], [0.0000, 0.0000, 0.0000]]}

***

Entry 19:
{"formula": "GdPdRhAu", "functional": "GGA-PBE", "state": "optimized geometry", "dft_energy_ev_per_atom": -8.067, "crystal_system": "cubic", "magnetic_moment_mub_per_cell": 7.1, "delta_e_f_ev_per_atom": -0.59, "lattice": [[4.7103, 0.0000, 0.0000], [2.3552, 4.0793, 0.0000], [2.3552, 1.3598, 3.8460]], "species": ["Au", "Rh", "Gd", "Pd"], "fractional_positions": [[0.0000, 0.0000, 0.0000], [0.2500, 0.2500, 0.2500], [0.5000, 0.5000, 0.5000], [0.7500, 0.7500, 0.7500]]}

***

Entry 20:
{"formula": "GdScPdAu", "functional": "GGA-PBE", "state": "optimized geometry", "dft_energy_ev_per_atom": -8.009, "crystal_system": "cubic", "magnetic_moment_mub_per_cell": 7.2, "delta_e_f_ev_per_atom": -0.79, "lattice": [[4.9288, 0.0000, 0.0000], [2.4644, 4.2685, 0.0000], [2.4644, 1.4228, 4.0243]], "species": ["Gd", "Pd", "Sc", "Au"], "fractional_positions": [[0.7500, 0.7500, 0.7500], [0.5000, 0.5000, 0.5000], [0.2500, 0.2500, 0.2500], [0.0000, 0.0000, 0.0000]]}